Entry 1:
Li2Nd2USe6 after structural relaxation, computed with PBE.

E_tot, eV/atom: -5.6386
SG: C2/m, No. 12
ρ, g cm⁻³: 5.65
Energy relative to the elements, uncorrected, eV per atom: -1.50
N(E_F), states/eV/cell: 6.1

Structure (POSCAR):
```
Li2Nd2USe6
1.0
3.653 -6.301 0.000
3.653 6.301 0.000
-2.326 0.000 6.473
Li Nd U Se
2 2 1 6
Direct
0.163 0.837 0.000
0.837 0.163 0.000
0.334 0.666 0.500
0.666 0.334 0.500
0.000 0.000 0.500
0.075 0.401 0.751
0.234 0.234 0.249
0.401 0.075 0.751
0.599 0.925 0.249
0.766 0.766 0.751
0.925 0.599 0.249
```



Entry 2:
ScHgRu after structural relaxation, computed with PBE.

Energy relative to the lowest polymorph listed for this composition, eV/atom: 0.336
E_tot, eV/atom: -5.1943
SG: F-43m, No. 216
ρ, g cm⁻³: 8.92
E_form, eV per formula unit: 0.33
N(E_F), states/eV/cell: 4.1

Structure (POSCAR):
```
ScHgRu
1.0
0.000 3.183 3.183
3.183 0.000 3.183
3.183 3.183 0.000
Sc Hg Ru
1 1 1
Direct
0.000 0.000 0.000
0.500 0.500 0.500
0.750 0.750 0.750
```



Entry 3:
KCr2BiI after structural relaxation, computed with PBE.

E_tot, eV/atom: -3.5435
SG: P4/mmm, No. 123
ρ, g cm⁻³: 3.62
Energy relative to the elements, uncorrected, eV per atom: 1.61
N(E_F), states/eV/cell: 4.4

Structure (POSCAR):
```
KCr2BiI
1.0
5.984 0.000 0.000
0.000 5.984 0.000
0.000 0.000 6.132
K Cr Bi I
1 2 1 1
Direct
0.000 0.000 0.000
0.000 0.500 0.000
0.500 0.000 0.000
0.000 0.000 0.500
0.500 0.500 0.500
```



Entry 4:
Pm6Al2NO after structural relaxation, computed with PBE.

E_tot, eV/atom: -6.0100
SG: Fm-3m, No. 225
ρ, g cm⁻³: 6.66
Energy relative to the elements, uncorrected, eV per atom: -1.08
N(E_F), states/eV/cell: 3.4

Structure (POSCAR):
```
Pm6Al2NO
1.0
0.000 4.918 4.918
4.918 0.000 4.918
4.918 4.918 0.000
Pm Al N O
6 2 1 1
Direct
0.248 0.248 0.752
0.248 0.752 0.248
0.248 0.752 0.752
0.752 0.248 0.248
0.752 0.248 0.752
0.752 0.752 0.248
0.250 0.250 0.250
0.750 0.750 0.750
0.000 0.000 0.000
0.500 0.500 0.500
```



Entry 5:
Pr5Y2HoTm after structural relaxation, computed with PBE.

E_tot, eV/atom: -4.7827
SG: I4/mcm, No. 140
ρ, g cm⁻³: 6.41
E_form, eV per formula unit: 2.83
N(E_F), states/eV/cell: 29.3

Structure (POSCAR):
```
Pr5Y2HoTm
1.0
-4.287 4.287 8.573
4.287 -4.287 8.573
4.287 4.287 -8.573
Pr Y Ho Tm
10 4 2 2
Direct
0.000 0.000 0.000
0.073 0.573 0.933
0.140 0.073 0.500
0.360 0.860 0.933
0.427 0.360 0.500
0.500 0.500 0.000
0.573 0.640 0.500
0.640 0.140 0.067
0.860 0.927 0.500
0.927 0.427 0.067
0.124 0.376 0.500
0.376 0.876 0.252
0.624 0.124 0.748
0.876 0.624 0.500
0.250 0.250 0.000
0.750 0.750 0.000
0.250 0.750 0.500
0.750 0.250 0.500
```



Entry 6:
Sc6Sb5O after structural relaxation, computed with PBE.

E_tot, eV/atom: -6.3824
SG: C2/m, No. 12
ρ, g cm⁻³: 5.09
Energy relative to the elements, uncorrected, eV per atom: -1.09
N(E_F), states/eV/cell: 3.3

Structure (POSCAR):
```
Sc6Sb5O
1.0
3.494 -6.168 0.000
3.494 6.168 0.000
-2.212 0.000 6.767
Sc Sb O
6 5 1
Direct
0.094 0.441 0.765
0.184 0.184 0.329
0.441 0.094 0.765
0.559 0.906 0.235
0.816 0.816 0.671
0.906 0.559 0.235
0.153 0.847 0.000
0.335 0.665 0.500
0.500 0.500 0.000
0.665 0.335 0.500
0.847 0.153 0.000
0.000 0.000 0.500
```



Entry 7:
LaY2SnO after structural relaxation, computed with PBE.

E_tot, eV/atom: -6.8328
SG: P4/mmm, No. 123
ρ, g cm⁻³: 6.37
Energy relative to the elements, uncorrected, eV per atom: -1.47
N(E_F), states/eV/cell: 5.3

Structure (POSCAR):
```
LaY2SnO
1.0
4.814 0.000 0.000
0.000 4.814 0.000
0.000 0.000 5.081
La Y Sn O
1 2 1 1
Direct
0.000 0.000 0.000
0.000 0.500 0.500
0.500 0.000 0.500
0.500 0.500 0.000
0.000 0.000 0.500
```



Entry 8:
HIr2Pb after structural relaxation, computed with PBE.

Energy relative to the lowest polymorph listed for this composition, eV/atom: 0.000
E_tot, eV/atom: -5.8034
SG: I-42d, No. 122
ρ, g cm⁻³: 16.08
N(E_F), states/eV/cell: 5.9

Structure (POSCAR):
```
HIr2Pb
1.0
-2.744 2.744 4.064
2.744 -2.744 4.064
2.744 2.744 -4.064
H Ir Pb
2 4 2
Direct
0.000 0.000 0.000
0.750 0.250 0.500
0.375 0.196 0.321
0.804 0.125 0.179
0.875 0.054 0.679
0.946 0.625 0.821
0.250 0.750 0.500
0.500 0.500 0.000
```